[1]
## Ga2SnI6Br2 (PBE)

Data for Ga2SnI6Br2 after structural relaxation.

```
Ga2SnI6Br2
1.0
7.535 0.000 0.000
-3.767 6.525 0.000
0.000 0.000 10.671
I Ga Br Sn
6 2 2 1
Direct
0.652 0.654 0.178
0.348 0.346 0.822
0.654 0.002 0.822
0.998 0.652 0.822
0.346 0.998 0.178
0.002 0.348 0.178
0.333 0.667 0.740
0.667 0.333 0.260
0.333 0.667 0.524
0.667 0.333 0.476
0.000 0.000 0.000
```

Values from the calculation:
For the total energy, the calculation gives -2.611 eV/atom. Its uncorrected formation energy is -547 meV per atom. As for the symmetry: P-3, No. 147.

---

[2]
## SrGaI2Br (PBE)

Data for SrGaI2Br after structural relaxation.

```
SrGaI2Br
1.0
-5.015 2.338 -0.044
-1.967 -4.303 -4.511
-1.642 -3.447 4.004
Ga I Sr Br
1 2 1 1
Direct
0.000 0.000 0.000
0.500 0.000 0.000
0.000 0.000 0.500
0.000 0.500 0.000
0.500 0.500 0.500
```

Values from the calculation:
For the total energy, the calculation gives -2.523 eV/atom. Its uncorrected formation energy is -627 meV per atom. As for the symmetry: P4/mmm, No. 123.

---

[3]
## TaGaI2Br (PBE)

Data for TaGaI2Br after structural relaxation.

```
TaGaI2Br
1.0
5.477 0.000 0.000
0.000 5.348 0.000
0.000 0.000 5.477
Br I Ta Ga
1 2 1 1
Direct
0.500 0.500 0.500
0.000 0.000 0.500
0.500 0.000 0.000
0.000 0.500 0.000
0.000 0.000 0.000
```

Values from the calculation:
For the total energy, the calculation gives -3.028 eV/atom. Its uncorrected formation energy is 902 meV per atom. As for the symmetry: P4/mmm, No. 123.

---

[4]
## GaTe2IBr (PBE)

Data for GaTe2IBr after structural relaxation.

```
GaTe2IBr
1.0
5.477 0.000 0.000
0.000 5.477 0.000
0.000 0.000 7.908
Te Br Ga I
2 1 1 1
Direct
0.500 0.000 0.000
0.000 0.500 0.000
0.000 0.000 0.000
0.500 0.500 0.500
0.000 0.000 0.500
```

Values from the calculation:
For the total energy, the calculation gives -1.989 eV/atom. Its uncorrected formation energy is 517 meV per atom. As for the symmetry: P4/mmm, No. 123.

---

[5]
## GaTeI2Br (PBE)

Data for GaTeI2Br after structural relaxation.

```
GaTeI2Br
1.0
-4.756 -2.993 1.830
3.445 -3.400 3.390
-0.642 3.667 4.330
Te Ga I Br
1 1 2 1
Direct
0.000 0.000 0.500
0.500 0.500 0.500
0.000 0.500 0.000
0.500 0.000 0.000
0.000 0.000 0.000
```

Values from the calculation:
For the total energy, the calculation gives -1.823 eV/atom. Its uncorrected formation energy is 366 meV per atom. As for the symmetry: P4/mmm, No. 123.

---

[6]
## GaTeI2Br (PBE)

Data for GaTeI2Br after structural relaxation.

```
GaTeI2Br
1.0
-2.503 4.600 -1.707
-3.336 -3.000 -3.194
-3.696 -0.429 4.264
Br I Te Ga
1 2 1 1
Direct
0.500 0.500 0.500
0.000 0.500 0.000
0.500 0.000 0.000
0.000 0.000 0.500
0.000 0.000 0.000
```

Values from the calculation:
For the total energy, the calculation gives -1.990 eV/atom. Its uncorrected formation energy is 198 meV per atom. As for the symmetry: P4/mmm, No. 123.

---

[7]
## GaTe2IBr (PBE)

Data for GaTe2IBr after structural relaxation.

```
GaTe2IBr
1.0
5.479 0.000 0.000
0.000 5.479 0.000
0.000 0.000 5.496
Te Ga Br I
2 1 1 1
Direct
0.000 0.500 0.000
0.500 0.000 0.000
0.000 0.000 0.000
0.500 0.500 0.500
0.000 0.000 0.500
```

Values from the calculation:
For the total energy, the calculation gives -2.202 eV/atom. Its uncorrected formation energy is 304 meV per atom. As for the symmetry: P4/mmm, No. 123.

---

[8]
## TiGa2I4Br2 (PBE)

Data for TiGa2I4Br2 after structural relaxation.

```
TiGa2I4Br2
1.0
7.147 0.580 0.394
2.166 7.534 0.283
2.166 3.029 6.904
I Ti Br Ga
4 1 2 2
Direct
0.677 0.836 0.325
0.323 0.164 0.675
0.677 0.325 0.836
0.323 0.675 0.164
0.500 0.000 0.000
0.811 0.823 0.823
0.189 0.177 0.177
0.708 0.248 0.248
0.292 0.752 0.752
```

Values from the calculation:
For the total energy, the calculation gives -3.246 eV/atom. Its uncorrected formation energy is -636 meV per atom. As for the symmetry: C2/m, No. 12.